# Ag8Te3Br2 GGA-PBE relaxed
# VASP energy (Ry per atom): -0.2096
# Fermi-level density of states (states/eV per cell): 0.44
data_Ag8Te3Br2
_chemical_formula_sum 'Ag16 Te6 Br4'
_symmetry_space_group_name_H-M 'P 1'
_symmetry_Int_Tables_number 1
_cell_length_a 8.1004
_cell_length_b 8.1004
_cell_length_c 14.3202
_cell_angle_alpha 105.46
_cell_angle_beta 105.46
_cell_angle_gamma 49.94
loop_
_symmetry_equiv_pos_as_xyz
'x,y,z'
loop_
_atom_site_label
_atom_site_fract_x
_atom_site_fract_y
_atom_site_fract_z
Ag1 0.0542 0.6230 0.5872
Ag2 0.0834 0.0861 0.2009
Ag3 0.0861 0.0834 0.7009
Ag4 0.1507 0.2818 0.0820
Ag5 0.1585 0.4257 0.7642
Ag6 0.2818 0.1507 0.5820
Ag7 0.3770 0.9458 0.9128
Ag8 0.4257 0.1585 0.2642
Ag9 0.5743 0.8415 0.7358
Ag10 0.6230 0.0542 0.0872
Ag11 0.7182 0.8493 0.4180
Ag12 0.8415 0.5743 0.2358
Ag13 0.8493 0.7182 0.9180
Ag14 0.9139 0.9166 0.2991
Ag15 0.9166 0.9139 0.7991
Ag16 0.9458 0.3770 0.4128
Te1 0.1671 0.5467 0.3922
Te2 0.3263 0.6737 0.7500
Te3 0.4533 0.8329 0.1078
Te4 0.5467 0.1671 0.8922
Te5 0.6737 0.3263 0.2500
Te6 0.8329 0.4533 0.6078
Br1 0.0968 0.6530 0.0967
Br2 0.3470 0.9032 0.4033
Br3 0.6530 0.0968 0.5967
Br4 0.9032 0.3470 0.9033

# Fe3Co5 GGA-PBE relaxed
# Formation energy (eV per formula unit): 0.1
# Fermi-level density of states (states/eV per cell): 8.37
data_Fe3Co5
_chemical_formula_sum 'Fe3 Co5'
_symmetry_space_group_name_H-M 'P 1'
_symmetry_Int_Tables_number 1
_cell_length_a 2.8205
_cell_length_b 2.8205
_cell_length_c 11.4591
_cell_angle_alpha 90.00
_cell_angle_beta 90.00
_cell_angle_gamma 90.00
loop_
_symmetry_equiv_pos_as_xyz
'x,y,z'
loop_
_atom_site_label
_atom_site_fract_x
_atom_site_fract_y
_atom_site_fract_z
Fe1 0.0000 0.0000 0.0000
Fe2 0.0000 0.0000 0.2514
Fe3 0.5000 0.5000 0.3822
Co1 0.0000 0.0000 0.5040
Co2 0.0000 0.0000 0.7511
Co3 0.5000 0.5000 0.1267
Co4 0.5000 0.5000 0.6320
Co5 0.5000 0.5000 0.8790

# Th2CI4 GGA-PBE relaxed
# VASP energy (Ry per atom): -0.3775
# Fermi-level density of states (states/eV per cell): 1.00
data_Th2CI4
_chemical_formula_sum 'Th4 C2 I8'
_symmetry_space_group_name_H-M 'P 1'
_symmetry_Int_Tables_number 1
_cell_length_a 13.5972
_cell_length_b 13.5972
_cell_length_c 3.7795
_cell_angle_alpha 90.00
_cell_angle_beta 90.00
_cell_angle_gamma 90.00
loop_
_symmetry_equiv_pos_as_xyz
'x,y,z'
loop_
_atom_site_label
_atom_site_fract_x
_atom_site_fract_y
_atom_site_fract_z
Th1 0.0888 0.0888 0.0000
Th2 0.4112 0.5888 0.5000
Th3 0.5888 0.4112 0.5000
Th4 0.9112 0.9112 0.0000
C1 0.0000 0.0000 0.5000
C2 0.5000 0.5000 0.0000
I1 0.0497 0.2725 0.5000
I2 0.2275 0.5497 0.0000
I3 0.2725 0.0497 0.5000
I4 0.4503 0.7725 0.0000
I5 0.5497 0.2275 0.0000
I6 0.7275 0.9503 0.5000
I7 0.7725 0.4503 0.0000
I8 0.9503 0.7275 0.5000

# CdInW GGA-PBE relaxed
# Formation energy (eV per formula unit): 1.9
# Polymorph energy (0 for the lowest one) (eV/f.u.): 1.096
# Fermi-level density of states (states/eV per cell): 2.24
data_CdInW
_chemical_formula_sum 'Cd1 In1 W1'
_symmetry_space_group_name_H-M 'P 1'
_symmetry_Int_Tables_number 1
_cell_length_a 7.4959
_cell_length_b 7.4959
_cell_length_c 7.4959
_cell_angle_alpha 157.78
_cell_angle_beta 157.78
_cell_angle_gamma 31.62
loop_
_symmetry_equiv_pos_as_xyz
'x,y,z'
loop_
_atom_site_label
_atom_site_fract_x
_atom_site_fract_y
_atom_site_fract_z
Cd1 0.0000 0.0000 0.0000
In1 0.6904 0.6904 0.0000
W1 0.3472 0.3472 0.0000

# CdCu2Cl GGA-PBE relaxed
# Polymorph energy (0 for the lowest one) (eV/f.u.): 0.305
# Fermi-level density of states (states/eV per cell): 1.52
data_CdCu2Cl
_chemical_formula_sum 'Cd1 Cu2 Cl1'
_symmetry_space_group_name_H-M 'P 1'
_symmetry_Int_Tables_number 1
_cell_length_a 3.1785
_cell_length_b 3.1785
_cell_length_c 7.0654
_cell_angle_alpha 90.00
_cell_angle_beta 90.00
_cell_angle_gamma 90.00
loop_
_symmetry_equiv_pos_as_xyz
'x,y,z'
loop_
_atom_site_label
_atom_site_fract_x
_atom_site_fract_y
_atom_site_fract_z
Cd1 0.0000 0.0000 0.0000
Cu1 0.0000 0.0000 0.5949
Cu2 0.5000 0.5000 0.7789
Cl1 0.5000 0.5000 0.4043

# AcCeNd GGA-PBE relaxed
# Formation energy (eV per formula unit): 0.6
# Polymorph energy (0 for the lowest one) (eV/f.u.): 0.246
# Fermi-level density of states (states/eV per cell): 7.64
data_AcCeNd
_chemical_formula_sum 'Ac1 Ce1 Nd1'
_symmetry_space_group_name_H-M 'P 1'
_symmetry_Int_Tables_number 1
_cell_length_a 5.9319
_cell_length_b 5.9319
_cell_length_c 3.6199
_cell_angle_alpha 90.00
_cell_angle_beta 90.00
_cell_angle_gamma 120.00
loop_
_symmetry_equiv_pos_as_xyz
'x,y,z'
loop_
_atom_site_label
_atom_site_fract_x
_atom_site_fract_y
_atom_site_fract_z
Ac1 0.0000 0.0000 0.0000
Ce1 0.3333 0.6667 0.0000
Nd1 0.6667 0.3333 0.5000

# K2BeAl GGA-PBE relaxed
# Formation energy (eV per formula unit): 3.8
# Polymorph energy (0 for the lowest one) (eV/f.u.): 2.164
# Fermi-level density of states (states/eV per cell): 2.14
data_K2BeAl
_chemical_formula_sum 'K2 Be1 Al1'
_symmetry_space_group_name_H-M 'P 1'
_symmetry_Int_Tables_number 1
_cell_length_a 11.7895
_cell_length_b 11.7895
_cell_length_c 11.7895
_cell_angle_alpha 17.25
_cell_angle_beta 17.25
_cell_angle_gamma 17.25
loop_
_symmetry_equiv_pos_as_xyz
'x,y,z'
loop_
_atom_site_label
_atom_site_fract_x
_atom_site_fract_y
_atom_site_fract_z
K1 0.2481 0.2481 0.2481
K2 0.7519 0.7519 0.7519
Be1 0.5000 0.5000 0.5000
Al1 0.0000 0.0000 0.0000

# LiBiTeAu GGA-PBE relaxed
# VASP energy (Ry per atom): -0.2467
# Fermi-level density of states (states/eV per cell): 3.03
data_LiBiTeAu
_chemical_formula_sum 'Li2 Bi2 Te2 Au2'
_symmetry_space_group_name_H-M 'P 1'
_symmetry_Int_Tables_number 1
_cell_length_a 13.1516
_cell_length_b 13.1516
_cell_length_c 13.1516
_cell_angle_alpha 19.02
_cell_angle_beta 19.02
_cell_angle_gamma 19.02
loop_
_symmetry_equiv_pos_as_xyz
'x,y,z'
loop_
_atom_site_label
_atom_site_fract_x
_atom_site_fract_y
_atom_site_fract_z
Li1 0.1894 0.1894 0.1894
Li2 0.8106 0.8106 0.8106
Bi1 0.3926 0.3926 0.3926
Bi2 0.6074 0.6074 0.6074
Te1 0.1166 0.1166 0.1166
Te2 0.8834 0.8834 0.8834
Au1 0.3125 0.3125 0.3125
Au2 0.6875 0.6875 0.6875

Number 1: size of the total moment 0.0 μB/cell. Number 2: size of the total moment 17.0 μB/cell. Number 3: size of the total moment 0.0 μB/cell. Number 4: size of the total moment 0.0 μB/cell. Number 5: size of the total moment 0.0 μB/cell. Number 6: size of the total moment 1.3 μB/cell. Number 7: size of the total moment 0.0 μB/cell. Number 8: size of the total moment 0.0 μB/cell.